A plane-wave DFT calculation with PBE-GGA was carried out for crystalline LaTb6Pm12 at its relaxed geometry.

Structure (POSCAR):
```
LaTb6Pm12
1.0
8.6165 0.7004 0.8390
-0.6140 8.6231 0.8390
-0.6140 -0.7154 8.6342
Tb Pm La
6 12 1
direct
0.6963 0.2594 0.0973
0.9027 0.3037 0.7406
0.3037 0.7406 0.9027
0.2594 0.0973 0.6963
0.7406 0.9027 0.3037
0.0973 0.6963 0.2594
0.4615 0.5668 0.2215
0.5668 0.2215 0.4615
0.3605 0.0153 0.1995
0.9847 0.8005 0.6395
0.8005 0.6395 0.9847
0.4332 0.7785 0.5385
0.5385 0.4332 0.7785
0.1995 0.3605 0.0153
0.7785 0.5385 0.4332
0.0153 0.1995 0.3605
0.6395 0.9847 0.8005
0.2215 0.4615 0.5668
0.0000 0.0000 0.0000
```

theoretical density	7182	kg/m³
spin magnetization	0.00	μB/f.u.
electronic total energy	-4.5874	eV/atom
excess energy over the best structure of this formula in the dataset	0	kJ/mol of formula units
formation enthalpy at 0 K	135	meV/atom
crystal system	trigonal

A plane-wave DFT calculation with PBE-GGA was carried out for crystalline La3Tb2Pm8 at its relaxed geometry.

Structure (POSCAR):
```
La3Tb2Pm8
1.0
5.7791 0.0000 0.4185
0.0000 7.7696 0.0000
-0.7676 -3.8848 10.3019
Pm La Tb
8 3 2
direct
0.0029 0.6755 0.3509
0.4997 0.5999 0.7826
0.9971 0.3245 0.6491
0.5003 0.8173 0.2174
0.9978 0.1364 0.2727
0.4997 0.1827 0.7826
0.5003 0.4001 0.2174
0.0022 0.8636 0.7273
0.0000 0.7062 0.0000
0.0000 0.2938 0.0000
0.5000 0.0000 0.0000
0.4960 0.2416 0.4832
0.5040 0.7584 0.5168
```

theoretical density	6765	kg/m³
spin magnetization	0.00	μB/f.u.
electronic total energy	-4.5528	eV/atom
excess energy over the best structure of this formula in the dataset	253	kJ/mol of formula units
formation enthalpy at 0 K	220	meV/atom
crystal system	monoclinic

Question: The lowest formation enthalpy at 0 K belongs to which entry?
Answer: LaTb6Pm12